1.
# NbVTeN2 PBE relaxed
# E   -7.11 eV/atom
# M_tot   0.33 μB per atom
# ΔE_f (raw)   329 kJ/mol of formula units
# ΔE to the lowest computed polymorph   0 meV per atom
data_NbVTeN2
_space_group_name_H-M_alt 'P 4/m m m'
_space_group_IT_number 123
_space_group_name_Hall '-P 4 2'
_cell_length_a 3.894
_cell_length_b 3.894
_cell_length_c 5.373
_cell_angle_alpha 90.00
_cell_angle_beta 90.00
_cell_angle_gamma 90.00
loop_
_atom_site_label
_atom_site_type_symbol
_atom_site_fract_x
_atom_site_fract_y
_atom_site_fract_z
Nb1 Nb 0.000 0.000 0.000
V1 V 0.500 0.500 0.500
Te1 Te 0.500 0.500 0.000
N1 N 0.000 0.500 0.500


2.
# NbTe2WN PBE relaxed
# E   -6.55 eV/atom
# M_tot   0.67 μB per atom
# ΔE_f (raw)   469 kJ/mol of formula units
# ΔE to the lowest computed polymorph   358 meV per atom
data_NbTe2WN
_space_group_name_H-M_alt 'P 4/m m m'
_space_group_IT_number 123
_space_group_name_Hall '-P 4 2'
_cell_length_a 5.519
_cell_length_b 5.519
_cell_length_c 3.843
_cell_angle_alpha 90.00
_cell_angle_beta 90.00
_cell_angle_gamma 90.00
loop_
_atom_site_label
_atom_site_type_symbol
_atom_site_fract_x
_atom_site_fract_y
_atom_site_fract_z
Nb1 Nb 0.000 0.000 0.000
Te1 Te 0.000 0.500 0.000
W1 W 0.500 0.500 0.500
N1 N 0.000 0.000 0.500


3.
# NbTe2WN PBE relaxed
# E   -6.91 eV/atom
# M_tot   0.54 μB per atom
# ΔE_f (raw)   296 kJ/mol of formula units
# ΔE to the lowest computed polymorph   0 meV per atom
data_NbTe2WN
_space_group_name_H-M_alt 'P 4/m m m'
_space_group_IT_number 123
_space_group_name_Hall '-P 4 2'
_cell_length_a 5.445
_cell_length_b 5.445
_cell_length_c 3.783
_cell_angle_alpha 90.00
_cell_angle_beta 90.00
_cell_angle_gamma 90.00
loop_
_atom_site_label
_atom_site_type_symbol
_atom_site_fract_x
_atom_site_fract_y
_atom_site_fract_z
Nb1 Nb 0.000 0.000 0.000
Te1 Te 0.000 0.500 0.500
W1 W 0.500 0.500 0.500
N1 N 0.500 0.500 0.000


4.
# NbZnTeN2 PBE relaxed
# E   -5.93 eV/atom
# M_tot   0.15 μB per atom
# ΔE_f (raw)   142 kJ/mol of formula units
# ΔE to the lowest computed polymorph   0 meV per atom
data_NbZnTeN2
_space_group_name_H-M_alt 'P 4/m m m'
_space_group_IT_number 123
_space_group_name_Hall '-P 4 2'
_cell_length_a 4.023
_cell_length_b 4.023
_cell_length_c 5.955
_cell_angle_alpha 90.00
_cell_angle_beta 90.00
_cell_angle_gamma 90.00
loop_
_atom_site_label
_atom_site_type_symbol
_atom_site_fract_x
_atom_site_fract_y
_atom_site_fract_z
Nb1 Nb 0.000 0.000 0.000
Zn1 Zn 0.500 0.500 0.500
Te1 Te 0.000 0.000 0.500
N1 N 0.000 0.500 0.000


5.
# NbZnTeN2 PBE relaxed
# E   -4.64 eV/atom
# M_tot   0.00 μB per atom
# ΔE_f (raw)   767 kJ/mol of formula units
# ΔE to the lowest computed polymorph   1295 meV per atom
data_NbZnTeN2
_space_group_name_H-M_alt 'P 4/m m m'
_space_group_IT_number 123
_space_group_name_Hall '-P 4 2'
_cell_length_a 3.962
_cell_length_b 3.962
_cell_length_c 5.208
_cell_angle_alpha 90.00
_cell_angle_beta 90.00
_cell_angle_gamma 90.00
loop_
_atom_site_label
_atom_site_type_symbol
_atom_site_fract_x
_atom_site_fract_y
_atom_site_fract_z
Nb1 Nb 0.000 0.000 0.000
Zn1 Zn 0.500 0.500 0.500
Te1 Te 0.500 0.500 0.000
N1 N 0.000 0.500 0.500


6.
# ZrNbTe2N PBE relaxed
# E   -6.26 eV/atom
# M_tot   0.52 μB per atom
# ΔE_f (raw)   185 kJ/mol of formula units
# ΔE to the lowest computed polymorph   318 meV per atom
data_ZrNbTe2N
_space_group_name_H-M_alt 'P 4/m m m'
_space_group_IT_number 123
_space_group_name_Hall '-P 4 2'
_cell_length_a 5.702
_cell_length_b 5.702
_cell_length_c 3.959
_cell_angle_alpha 90.00
_cell_angle_beta 90.00
_cell_angle_gamma 90.00
loop_
_atom_site_label
_atom_site_type_symbol
_atom_site_fract_x
_atom_site_fract_y
_atom_site_fract_z
Zr1 Zr 0.000 0.000 0.000
Nb1 Nb 0.500 0.500 0.500
Te1 Te 0.000 0.500 0.000
N1 N 0.000 0.000 0.500


7.
# ZrNbTe2N PBE relaxed
# E   -6.58 eV/atom
# M_tot   0.14 μB per atom
# ΔE_f (raw)   32 kJ/mol of formula units
# ΔE to the lowest computed polymorph   0 meV per atom
data_ZrNbTe2N
_space_group_name_H-M_alt 'P 4/m m m'
_space_group_IT_number 123
_space_group_name_Hall '-P 4 2'
_cell_length_a 5.543
_cell_length_b 5.543
_cell_length_c 3.871
_cell_angle_alpha 90.00
_cell_angle_beta 90.00
_cell_angle_gamma 90.00
loop_
_atom_site_label
_atom_site_type_symbol
_atom_site_fract_x
_atom_site_fract_y
_atom_site_fract_z
Zr1 Zr 0.000 0.000 0.000
Nb1 Nb 0.500 0.500 0.500
Te1 Te 0.000 0.500 0.500
N1 N 0.500 0.500 0.000


8.
# ThNb2N4 PBE relaxed
# E   -9.89 eV/atom
# M_tot   0.00 μB per atom
# ΔE_f (raw)   -807 kJ/mol of formula units
data_ThNb2N4
_space_group_name_H-M_alt 'C m c m'
_space_group_IT_number 63
_space_group_name_Hall '-C 2c 2'
_cell_length_a 3.267
_cell_length_b 10.284
_cell_length_c 10.519
_cell_angle_alpha 90.00
_cell_angle_beta 90.00
_cell_angle_gamma 90.00
loop_
_atom_site_label
_atom_site_type_symbol
_atom_site_fract_x
_atom_site_fract_y
_atom_site_fract_z
Th1 Th 0.000 0.119 0.250
Nb1 Nb 0.000 0.376 0.061
N1 N 0.000 0.000 0.000
N2 N 0.000 0.268 0.613
N3 N 0.000 0.436 0.250